PBE+U K2Tl2CrF6, relaxed; calculated total energy = -4.67 eV/atom; size of the total moment = 0.36 μB per atom
1.0
3.3232 -5.4544 0.0000
3.3232 5.4544 0.0000
-1.8641 0.0000 6.3327
K Tl Cr F
2 2 1 6
direct
0.1561 0.8439 0.0000
0.8439 0.1561 0.0000
0.3326 0.6674 0.5000
0.6674 0.3326 0.5000
0.5000 0.5000 0.0000
0.1824 0.4534 0.8267
0.2875 0.2875 0.2552
0.4534 0.1824 0.8267
0.5466 0.8176 0.1733
0.7125 0.7125 0.7448
0.8176 0.5466 0.1733